Entry from the Alexandria database: Y2MnSe after structural relaxation (PBEsol).

The structure in POSCAR format:
```
Y2MnSe
1.0
3.606 0.000 0.000
0.000 4.242 0.000
-1.803 -2.121 5.612
Mn Y Se
1 2 1
Direct
0.527 0.527 0.054 Mn
0.009 0.009 0.017 Y
0.772 0.272 0.545 Y
0.192 0.692 0.383 Se
```

Values from the calculation:
Final energy (eV per atom): -7.281
Energy relative to the elements, uncorrected (eV/atom): -0.4675
M_tot (μB per atom): 0.526

***

Entry from the Alexandria database: NbNiRh3 after structural relaxation (PBEsol).

The structure in POSCAR format:
```
NbNiRh3
1.0
-2.389 1.715 -3.175
-3.500 -0.175 2.539
0.878 3.970 1.483
Rh Nb Ni
3 1 1
Direct
0.000 0.000 0.500 Rh
0.500 0.000 0.000 Rh
0.000 0.500 0.000 Rh
0.500 0.500 0.500 Nb
0.000 0.000 0.000 Ni
```

Values from the calculation:
Final energy (eV per atom): -7.291
Formation energy from the elements (eV per atom): 0.987
M_tot (μB per atom): 0.195

***

Entry from the Alexandria database: SrCdPt after structural relaxation (PBEsol).

The structure in POSCAR format:
```
SrCdPt
1.0
4.471 0.000 0.000
0.000 7.414 0.000
0.000 0.000 8.501
Pt Cd Sr
4 4 4
Direct
0.750 0.229 0.122 Pt
0.750 0.729 0.378 Pt
0.250 0.771 0.878 Pt
0.250 0.271 0.622 Pt
0.250 0.646 0.565 Cd
0.750 0.854 0.065 Cd
0.250 0.146 0.935 Cd
0.750 0.354 0.435 Cd
0.750 0.972 0.681 Sr
0.250 0.028 0.319 Sr
0.750 0.472 0.819 Sr
0.250 0.528 0.181 Sr
```

Values from the calculation:
Final energy (eV per atom): -3.971
Formation energy from the elements (eV per atom): -0.637
M_tot (μB per atom): 0.000

***

Entry from the Alexandria database: HfCuAsSe2 after structural relaxation (PBEsol).

The structure in POSCAR format:
```
HfCuAsSe2
1.0
4.623 0.000 0.000
0.000 4.622 0.000
0.000 0.000 4.622
Se Hf As Cu
2 1 1 1
Direct
0.000 0.000 0.500 Se
0.000 0.500 0.000 Se
0.500 0.500 0.500 Hf
0.500 0.000 0.000 As
0.000 0.000 0.000 Cu
```

Values from the calculation:
Final energy (eV per atom): -5.253
Energy relative to the elements, uncorrected (eV/atom): 0.2754
M_tot (μB per atom): 0.000